Li2SiSe: optimized geometry, GGA-PBEsol. Values from VASP.

Values from the calculation:
* formation energy from raw total energies: -0.41 eV/atom

```
&SYSTEM
  ibrav = 0, nat = 4, ntyp = 3
/
ATOMIC_SPECIES
Li 6.94 Li.upf
Se 78.96 Se.upf
Si 28.09 Si.upf
ATOMIC_POSITIONS angstrom
Li -0.1930 0.6140 1.2720
Li -2.5413 -0.2074 4.5141
Se 0.3860 -2.0897 1.0678
Si 0.0001 -0.8603 3.6139
CELL_PARAMETERS angstrom
-1.9624 -2.0523 0.6939
2.7344 -2.1271 1.4416
-0.7719 2.4589 5.0921
```